[1]
Crystalline Ta3NbV8 at its relaxed geometry. Source: Alexandria via LeMat-Bulk, functional PBE. Values from VASP.

Calculated values
Electronic total energy in eV/atom: -9.99

Structure (Quantum ESPRESSO input):
```
&SYSTEM
  ibrav = 0, nat = 12, ntyp = 3
/
ATOMIC_SPECIES
Ta 180.95 Ta.upf
Nb 92.91 Nb.upf
V 50.94 V.upf
CELL_PARAMETERS angstrom
5.084 0.000 0.000
-2.542 4.403 0.000
0.000 0.000 8.131
ATOMIC_POSITIONS angstrom
Ta 0.000 0.000 0.000
Ta 0.000 0.000 3.045
Ta 0.000 2.935 7.124
Nb 0.000 2.935 4.060
V -1.248 2.214 1.521
V 1.248 0.720 5.596
V 1.248 2.214 1.521
V 0.000 4.377 1.521
V 2.542 1.468 3.559
V 2.542 1.468 7.625
V 3.836 0.720 5.596
V 2.542 2.962 5.596
```


[2]
Crystalline TaNb2V at its relaxed geometry. Source: Alexandria via LeMat-Bulk, functional PBE. Values from VASP.

Calculated values
Polymorph energy (0 for the lowest one) in eV/atom: 0.016
Electronic total energy in eV/atom: -10.23

Structure (Quantum ESPRESSO input):
```
&SYSTEM
  ibrav = 0, nat = 4, ntyp = 3
/
ATOMIC_SPECIES
Ta 180.95 Ta.upf
Nb 92.91 Nb.upf
V 50.94 V.upf
CELL_PARAMETERS angstrom
4.592 0.000 0.000
0.000 4.592 0.000
0.000 0.000 3.270
ATOMIC_POSITIONS angstrom
Ta 0.000 0.000 0.000
Nb 0.000 2.296 1.635
Nb 2.296 0.000 1.635
V 2.296 2.296 0.000
```


[3]
Crystalline TaNb3V at its relaxed geometry. Source: Alexandria via LeMat-Bulk, functional PBE. Values from VASP.

Calculated values
Polymorph energy (0 for the lowest one) in eV/atom: 0.994
Electronic total energy in eV/atom: -9.22

Structure (Quantum ESPRESSO input):
```
&SYSTEM
  ibrav = 0, nat = 5, ntyp = 3
/
ATOMIC_SPECIES
Ta 180.95 Ta.upf
Nb 92.91 Nb.upf
V 50.94 V.upf
CELL_PARAMETERS angstrom
4.626 0.000 0.000
0.000 4.626 0.000
0.000 0.000 4.626
ATOMIC_POSITIONS angstrom
Ta 0.000 0.000 0.000
Nb 0.000 2.313 2.313
Nb 2.313 0.000 2.313
Nb 2.313 2.313 0.000
V 2.313 2.313 2.313
```